No. 1
Below is crystalline CeZr4 at its relaxed geometry, with properties calculated at the GGA-PBE level.

a = 5.0582 Å, b = 5.0582 Å, c = 5.0582 Å
α = 90.00°, β = 90.00°, γ = 90.00°
With the nearest neighbours (Å) after each atom.
Space group Pm-3m (No. 221)
Symmetry-distinct sites (fractional):
Ce: 0.0000 0.0000 0.0000  6 Zr 2.53
Zr: 0.0000 0.0000 0.5000  2 Ce 2.53
Zr: 0.5000 0.5000 0.5000  12 Zr 3.58

Energy of formation from the pure elements = 4.25 eV/f.u.
Total moment = 0.000 μB per formula unit
Theoretical density = 6.48 g/cm3

No. 2
Below is crystalline Ac2DyRh2 at its relaxed geometry, with properties calculated at the GGA-PBE level.

a = 8.0307 Å, b = 11.1813 Å, c = 6.5628 Å
α = 90.00°, β = 90.00°, γ = 90.00°
With the nearest neighbours (Å) after each atom.
Space group Ibam (No. 72)
Symmetry-distinct sites (fractional):
Ac: 0.1356 0.1571 0.0000  3 Rh 2.92-3.16
Dy: 0.0000 0.5000 0.2500  4 Rh 2.82
Rh: 0.2480 0.0958 0.5000  2 Dy 2.82, 2 Ac 2.92-2.97

Energy of formation from the pure elements = -3.03 eV/f.u.
Total moment = 0.000 μB per formula unit
Theoretical density = 9.27 g/cm3

No. 3
Below is crystalline SmYHo5Tm2 at its relaxed geometry, with properties calculated at the GGA-PBE level.

a = 5.5712 Å, b = 19.8428 Å, c = 10.5002 Å
α = 90.00°, β = 90.00°, γ = 90.00°
With the nearest neighbours (Å) after each atom.
Space group Cmc2_1 (No. 36)
Symmetry-distinct sites (fractional):
Sm: 0.0000 0.2000 0.0000  2 Tm 3.40-3.65, 7 Ho 3.46-3.77, 2 Y 3.64
Y: 0.0000 0.4134 0.4402  5 Ho 3.05-3.25
Ho: 0.0000 0.0170 0.0132  2 Y 3.20, 3 Tm 3.36-3.54, 2 Ho 3.57
Ho: 0.0000 0.2803 0.2958  1 Y 3.05, 1 Tm 3.32, 2 Ho 3.38
Ho: 0.0000 0.3005 0.6957  3 Ho 3.38-3.53, 3 Sm 3.46-3.77, 2 Tm 3.47, 1 Y 3.50
Ho: 0.0000 0.3924 0.0123  6 Ho 3.41-3.79, 4 Tm 3.53-3.57
Ho: 0.0000 0.4779 0.7251  2 Y 3.12-3.25, 2 Ho 3.41-3.46, 2 Tm 3.43
Tm: 0.0000 0.1097 0.7251  6 Ho 3.36-3.62, 1 Sm 3.40, 2 Y 3.62
Tm: 0.0000 0.1129 0.3059  9 Ho 3.32-3.62, 1 Sm 3.65

Energy of formation from the pure elements = 1.49 eV/f.u.
Total moment = 0.000 μB per formula unit
Theoretical density = 8.02 g/cm3

No. 4
Below is crystalline Mg2TcAgOs at its relaxed geometry, with properties calculated at the GGA-PBE level.

a = 4.6390 Å, b = 4.6390 Å, c = 4.9689 Å
α = 90.00°, β = 90.00°, γ = 90.00°
With the nearest neighbours (Å) after each atom.
Space group P4/mmm (No. 123)
Symmetry-distinct sites (fractional):
Mg: 0.0000 0.5000 0.0000  2 Ag 2.32
Tc: 0.0000 0.0000 0.5000  2 Ag 2.48
Ag: 0.0000 0.0000 0.0000  4 Mg 2.32, 2 Tc 2.48
Os: 0.5000 0.5000 0.5000  4 Tc 3.28, 8 Mg 3.40

Energy of formation from the pure elements = 8.21 eV/f.u.
Total moment = 3.740 μB per formula unit
Theoretical density = 6.91 g/cm3